[1]
First-principles (GGA-PBE) data for TbYZn10 after structural relaxation, as listed in Alexandria via LeMat-Bulk.

Cell: 4.214 5.325 9.179 Å, 90.00 90.00 90.00°
Space group Pmmm (No. 47)
Symmetry-distinct sites (fractional):
Tb 0.000 0.000 0.000 [1 per cell]
Y 0.000 0.500 0.500 [1 per cell]
Zn 0.000 0.000 0.334 [2 per cell]
Zn 0.000 0.500 0.166 [2 per cell]
Zn 0.500 0.000 0.500 [1 per cell]
Zn 0.500 0.250 0.250 [4 per cell]
Zn 0.500 0.500 0.000 [1 per cell]

density of states at the Fermi level = 0.453 states/eV/atom
E_tot = -2.271 eV per atom
formation enthalpy at 0 K = -6.571 kcal/mol of atoms
magnetic moment = 0.000 μB/atom



[2]
First-principles (GGA-PBE) data for Tb4YZn5 after structural relaxation, as listed in Alexandria via LeMat-Bulk.

Cell: 3.585 3.585 17.893 Å, 90.00 90.00 90.00°
Space group P4/mmm (No. 123)
Symmetry-distinct sites (fractional):
Tb 0.000 0.000 0.100 [2 per cell]
Tb 0.000 0.000 0.300 [2 per cell]
Y 0.000 0.000 0.500 [1 per cell]
Zn 0.500 0.500 0.000 [1 per cell]
Zn 0.500 0.500 0.200 [2 per cell]
Zn 0.500 0.500 0.400 [2 per cell]

density of states at the Fermi level = 1.223 states/eV/atom
E_tot = -3.476 eV per atom
formation enthalpy at 0 K = -7.849 kcal/mol of atoms
magnetic moment = 0.000 μB/atom



[3]
First-principles (GGA-PBE) data for TbY2Zn3 after structural relaxation, as listed in Alexandria via LeMat-Bulk.

Cell: 3.584 3.584 10.749 Å, 90.00 90.00 90.00°
Space group P4/mmm (No. 123)
Symmetry-distinct sites (fractional):
Tb 0.000 0.000 0.000 [1 per cell]
Y 0.000 0.000 0.333 [2 per cell]
Zn 0.500 0.500 0.167 [2 per cell]
Zn 0.500 0.500 0.500 [1 per cell]

density of states at the Fermi level = 1.166 states/eV/atom
E_tot = -3.915 eV per atom
formation enthalpy at 0 K = -8.098 kcal/mol of atoms
magnetic moment = 0.000 μB/atom



[4]
First-principles (GGA-PBE) data for Tb2YZn9 after structural relaxation, as listed in Alexandria via LeMat-Bulk.

Cell: 5.4467 5.4467 25.7731 Å, 90.00 90.00 120.00°
Space group R-3m (No. 166, hexagonal axes)
Symmetry-distinct sites (fractional):
Tb 0.0000 0.0000 0.1397 [6 per cell]
Y 0.0000 0.0000 0.0000 [3 per cell]
Zn 0.0000 0.0000 0.3348 [6 per cell]
Zn 0.0000 0.0000 0.5000 [3 per cell]
Zn 0.0054 0.5027 0.9179 [18 per cell]

density of states at the Fermi level = 0.541 states/eV/atom
E_tot = -2.582 eV per atom
formation enthalpy at 0 K = -7.293 kcal/mol of atoms
magnetic moment = 0.000 μB/atom



[5]
First-principles (GGA-PBE) data for Tb2Y3Zn2 after structural relaxation, as listed in Alexandria via LeMat-Bulk.

Cell: 3.535 30.776 3.526 Å, 90.00 90.00 90.00°
Space group Cmmm (No. 65)
Symmetry-distinct sites (fractional):
Tb 0.000 0.201 0.000 [4 per cell]
Y 0.000 0.382 0.500 [4 per cell]
Y 0.000 0.500 0.500 [2 per cell]
Zn 0.000 0.058 0.000 [4 per cell]

excess energy over the best structure of this formula in the dataset = 0.032 eV per atom
density of states at the Fermi level = 1.302 states/eV/atom
E_tot = -4.587 eV per atom
formation enthalpy at 0 K = -2.988 kcal/mol of atoms
magnetic moment = 0.000 μB/atom



[6]
First-principles (GGA-PBE) data for TbY4Zn after structural relaxation, as listed in Alexandria via LeMat-Bulk.

Cell: 8.864 13.644 6.244 Å, 90.00 109.20 90.00°
Space group C2/c (No. 15)
Symmetry-distinct sites (fractional):
Tb 0.000 0.101 0.250 [4 per cell]
Y 0.104 0.318 0.553 [8 per cell]
Y 0.223 0.105 0.869 [8 per cell]
Zn 0.000 0.499 0.750 [4 per cell]

excess energy over the best structure of this formula in the dataset = 0.099 eV per atom
density of states at the Fermi level = 1.596 states/eV/atom
E_tot = -5.300 eV per atom
formation enthalpy at 0 K = -0.148 kcal/mol of atoms
magnetic moment = 0.000 μB/atom



[7]
First-principles (GGA-PBE) data for Tb2Y8Zn after structural relaxation, as listed in Alexandria via LeMat-Bulk.

Cell: 19.239 5.522 6.414 Å, 90.00 94.52 90.00°
Space group C2/m (No. 12)
Symmetry-distinct sites (fractional):
Tb 0.242 0.000 0.333 [4 per cell]
Y 0.043 0.000 0.254 [4 per cell]
Y 0.077 0.500 0.612 [4 per cell]
Y 0.155 0.500 0.128 [4 per cell]
Y 0.156 0.000 0.808 [4 per cell]
Zn 0.000 0.500 0.000 [2 per cell]

density of states at the Fermi level = 1.616 states/eV/atom
E_tot = -5.681 eV per atom
formation enthalpy at 0 K = -0.521 kcal/mol of atoms
magnetic moment = 0.000 μB/atom



[8]
First-principles (GGA-PBE) data for TbY4Zn5 after structural relaxation, as listed in Alexandria via LeMat-Bulk.

Cell: 3.581 3.581 17.909 Å, 90.00 90.00 90.00°
Space group P4/mmm (No. 123)
Symmetry-distinct sites (fractional):
Tb 0.000 0.000 0.000 [1 per cell]
Y 0.000 0.000 0.200 [2 per cell]
Y 0.000 0.000 0.400 [2 per cell]
Zn 0.500 0.500 0.100 [2 per cell]
Zn 0.500 0.500 0.300 [2 per cell]
Zn 0.500 0.500 0.500 [1 per cell]

density of states at the Fermi level = 1.194 states/eV/atom
E_tot = -4.040 eV per atom
formation enthalpy at 0 K = -8.170 kcal/mol of atoms
magnetic moment = 0.000 μB/atom



[9]
First-principles (GGA-PBE) data for TbY3Zn2 after structural relaxation, as listed in Alexandria via LeMat-Bulk.

Cell: 3.579 3.579 12.235 Å, 90.00 90.00 90.00°
Space group P4/mmm (No. 123)
Symmetry-distinct sites (fractional):
Tb 0.000 0.000 0.000 [1 per cell]
Y 0.500 0.500 0.210 [2 per cell]
Y 0.500 0.500 0.500 [1 per cell]
Zn 0.000 0.000 0.355 [2 per cell]

excess energy over the best structure of this formula in the dataset = 0.007 eV per atom
density of states at the Fermi level = 1.110 states/eV/atom
E_tot = -4.661 eV per atom
formation enthalpy at 0 K = -5.357 kcal/mol of atoms
magnetic moment = 0.000 μB/atom



[10]
First-principles (GGA-PBE) data for TbY3Zn2 after structural relaxation, as listed in Alexandria via LeMat-Bulk.

Cell: 5.042 9.124 6.798 Å, 90.00 90.00 90.00°
Space group Pmc2_1 (No. 26)
Symmetry-distinct sites (fractional):
Tb 0.000 0.058 0.000 [2 per cell]
Y 0.000 0.327 0.651 [2 per cell]
Y 0.500 0.173 0.320 [2 per cell]
Y 0.500 0.442 0.969 [2 per cell]
Zn 0.000 0.351 0.212 [2 per cell]
Zn 0.500 0.150 0.758 [2 per cell]

excess energy over the best structure of this formula in the dataset = 0.000 eV per atom
density of states at the Fermi level = 0.584 states/eV/atom
E_tot = -4.668 eV per atom
formation enthalpy at 0 K = -5.518 kcal/mol of atoms
magnetic moment = 0.000 μB/atom



[11]
First-principles (GGA-PBE) data for Tb2Y3Zn2 after structural relaxation, as listed in Alexandria via LeMat-Bulk.

Cell: 12.955 3.668 9.108 Å, 90.00 116.01 90.00°
Space group C2/m (No. 12)
Symmetry-distinct sites (fractional):
Tb 0.151 0.000 0.312 [4 per cell]
Y 0.000 0.500 0.500 [2 per cell]
Y 0.110 0.500 0.941 [4 per cell]
Zn 0.178 0.000 0.727 [4 per cell]

excess energy over the best structure of this formula in the dataset = 0.000 eV per atom
density of states at the Fermi level = 1.236 states/eV/atom
E_tot = -4.619 eV per atom
formation enthalpy at 0 K = -3.735 kcal/mol of atoms
magnetic moment = 0.000 μB/atom



[12]
First-principles (GGA-PBE) data for Tb2Y3Zn3 after structural relaxation, as listed in Alexandria via LeMat-Bulk.

Cell: 3.615 5.174 21.549 Å, 90.00 90.00 90.00°
Space group Immm (No. 71)
Symmetry-distinct sites (fractional):
Tb 0.000 0.000 0.228 [4 per cell]
Y 0.000 0.000 0.000 [2 per cell]
Y 0.000 0.500 0.118 [4 per cell]
Zn 0.000 0.000 0.500 [2 per cell]
Zn 0.000 0.500 0.385 [4 per cell]

density of states at the Fermi level = 1.113 states/eV/atom
E_tot = -4.322 eV per atom
formation enthalpy at 0 K = -6.054 kcal/mol of atoms
magnetic moment = 0.000 μB/atom



[13]
First-principles (GGA-PBE) data for TbYZn2 after structural relaxation, as listed in Alexandria via LeMat-Bulk.

Cell: 5.053 5.053 3.601 Å, 90.00 90.00 90.00°
Space group P4/mmm (No. 123)
Symmetry-distinct sites (fractional):
Tb 0.000 0.000 0.000 [1 per cell]
Y 0.500 0.500 0.000 [1 per cell]
Zn 0.000 0.500 0.500 [2 per cell]

density of states at the Fermi level = 1.173 states/eV/atom
E_tot = -3.760 eV per atom
formation enthalpy at 0 K = -8.051 kcal/mol of atoms
magnetic moment = 0.000 μB/atom



[14]
First-principles (GGA-PBE) data for TbY2Zn4 after structural relaxation, as listed in Alexandria via LeMat-Bulk.

Cell: 5.179 5.179 12.377 Å, 90.00 90.00 90.00°
Space group I4/mmm (No. 139)
Symmetry-distinct sites (fractional):
Tb 0.000 0.000 0.000 [2 per cell]
Y 0.000 0.000 0.278 [4 per cell]
Zn 0.000 0.500 0.110 [8 per cell]

density of states at the Fermi level = 0.660 states/eV/atom
E_tot = -3.406 eV per atom
formation enthalpy at 0 K = -3.904 kcal/mol of atoms
magnetic moment = 0.000 μB/atom



[15]
First-principles (GGA-PBE) data for Tb9Y4Zn11 after structural relaxation, as listed in Alexandria via LeMat-Bulk.

Cell: 15.475 21.218 3.461 Å, 90.00 90.00 90.00°
Space group Cmmm (No. 65)
Symmetry-distinct sites (fractional):
Tb 0.000 0.000 0.000 [2 per cell]
Tb 0.113 0.409 0.000 [8 per cell]
Tb 0.114 0.237 0.000 [8 per cell]
Y 0.169 0.087 0.000 [8 per cell]
Zn 0.000 0.130 0.500 [4 per cell]
Zn 0.000 0.324 0.500 [4 per cell]
Zn 0.000 0.500 0.500 [2 per cell]
Zn 0.217 0.500 0.500 [4 per cell]
Zn 0.234 0.318 0.500 [8 per cell]

density of states at the Fermi level = 1.121 states/eV/atom
E_tot = -3.645 eV per atom
formation enthalpy at 0 K = -5.713 kcal/mol of atoms
magnetic moment = 0.001 μB/atom



[16]
First-principles (GGA-PBE) data for Tb4YZn after structural relaxation, as listed in Alexandria via LeMat-Bulk.

Cell: 3.567 3.567 13.736 Å, 90.00 90.00 90.00°
Space group P4/mmm (No. 123)
Symmetry-distinct sites (fractional):
Tb 0.000 0.000 0.130 [2 per cell]
Tb 0.500 0.500 0.316 [2 per cell]
Y 0.000 0.000 0.500 [1 per cell]
Zn 0.500 0.500 0.000 [1 per cell]

density of states at the Fermi level = 1.228 states/eV/atom
E_tot = -4.476 eV per atom
formation enthalpy at 0 K = -2.292 kcal/mol of atoms
magnetic moment = 0.000 μB/atom



[17]
First-principles (GGA-PBE) data for TbY6Zn after structural relaxation, as listed in Alexandria via LeMat-Bulk.

Cell: 9.3472 9.3472 9.7254 Å, 90.00 90.00 120.00°
Space group R-3 (No. 148, hexagonal axes)
Symmetry-distinct sites (fractional):
Tb 0.0000 0.0000 0.0000 [3 per cell]
Y 0.0311 0.2498 0.7042 [18 per cell]
Zn 0.0000 0.0000 0.5000 [3 per cell]

density of states at the Fermi level = 1.369 states/eV/atom
E_tot = -5.552 eV per atom
formation enthalpy at 0 K = 0.782 kcal/mol of atoms
magnetic moment = 0.000 μB/atom



[18]
First-principles (GGA-PBE) data for TbY2Zn3 after structural relaxation, as listed in Alexandria via LeMat-Bulk.

Cell: 5.0668 5.0668 6.2075 Å, 90.00 90.00 120.00°
Space group P-3m1 (No. 164)
Symmetry-distinct sites (fractional):
Tb 0.0000 0.0000 0.0000 [1 per cell]
Y 0.3333 0.6667 0.6660 [2 per cell]
Zn 0.0000 0.0000 0.5000 [1 per cell]
Zn 0.3333 0.6667 0.1653 [2 per cell]

density of states at the Fermi level = 1.180 states/eV/atom
E_tot = -3.916 eV per atom
formation enthalpy at 0 K = -8.135 kcal/mol of atoms
magnetic moment = 0.000 μB/atom



[19]
First-principles (GGA-PBE) data for Tb3YZn after structural relaxation, as listed in Alexandria via LeMat-Bulk.

Cell: 11.493 8.404 7.744 Å, 90.00 124.07 90.00°
Space group C2/m (No. 12)
Symmetry-distinct sites (fractional):
Tb 0.046 0.000 0.308 [4 per cell]
Tb 0.188 0.297 0.711 [8 per cell]
Y 0.081 0.500 0.270 [4 per cell]
Zn 0.231 0.500 0.060 [4 per cell]

density of states at the Fermi level = 1.549 states/eV/atom
E_tot = -4.270 eV per atom
formation enthalpy at 0 K = 1.287 kcal/mol of atoms
magnetic moment = 0.000 μB/atom



[20]
First-principles (GGA-PBE) data for Tb2YZn2 after structural relaxation, as listed in Alexandria via LeMat-Bulk.

Cell: 3.621 5.156 13.384 Å, 90.00 97.74 90.00°
Space group P2_1/m (No. 11)
Symmetry-distinct sites (fractional):
Tb 0.045 0.250 0.092 [2 per cell]
Tb 0.233 0.250 0.464 [2 per cell]
Y 0.143 0.750 0.286 [2 per cell]
Zn 0.360 0.750 0.721 [2 per cell]
Zn 0.451 0.250 0.902 [2 per cell]

density of states at the Fermi level = 1.053 states/eV/atom
E_tot = -3.929 eV per atom
formation enthalpy at 0 K = -6.331 kcal/mol of atoms
magnetic moment = 0.000 μB/atom